Entry from the Alexandria database: AlAuS2 after structural relaxation (GGA-PBE).

Structure (POSCAR):
```
AlAuS2
1.0
-4.3778 -3.8249 1.5892
-2.3288 -4.2235 -5.6188
0.9130 -8.1885 -0.5538
Al S Au
2 4 2
Direct
0.4172 0.1034 0.4323
0.9202 0.1065 0.4259
0.1411 0.8367 0.6405
0.1963 0.3732 0.2177
0.8491 0.0477 0.2157
0.4883 0.1623 0.6425
0.3404 0.5249 0.5897
0.9971 0.6850 0.2686
```

## Properties
- size of the total moment (μB per formula unit) = 0.0
- uncorrected formation energy (meV per atom) = -669


Entry from the Alexandria database: Ni2Mo3Rh6 after structural relaxation (GGA-PBE).

Structure (POSCAR):
```
Ni2Mo3Rh6
1.0
4.2684 -1.0911 1.5755
-1.1231 5.5412 2.2424
3.1021 4.8351 10.8872
Ni Rh Mo
2 6 3
Direct
0.7174 0.3490 0.9136
0.2826 0.6510 0.0864
0.4513 0.7216 0.8214
0.6382 0.8208 0.5425
0.5487 0.2784 0.1786
0.3618 0.1792 0.4575
0.1017 0.5614 0.3542
0.8983 0.4386 0.6458
0.0000 0.0000 0.0000
0.1571 0.0648 0.7384
0.8429 0.9352 0.2616
```

## Properties
- size of the total moment (μB per formula unit) = 0.0
- ΔH_f (0 K) (eV/atom) = -0.1090


E_tot (eV per atom)
-4.4873 -8.1240